Version w
The following is a PBE-GGA calculation of a relaxed VHgI2 crystal, from Alexandria via LeMat-Bulk.

Structure (POSCAR):
```
VHgI2
1.0
2.870 -4.613 0.337
-1.624 -3.977 3.343
-2.023 -4.620 -2.048
V I Hg
1 2 1
direct
0.000 0.000 0.000
0.750 0.750 0.750
0.250 0.250 0.250
0.500 0.500 0.500
```

Crystal system: cubic



Version x
The following is a PBE-GGA calculation of a relaxed VHgI2 crystal, from Alexandria via LeMat-Bulk.

Structure (POSCAR):
```
VHgI2
1.0
-1.566 -5.893 6.075
0.000 -6.178 -5.993
3.491 -6.586 0.608
Hg I V
2 4 2
direct
0.000 0.000 0.000
0.750 0.250 0.500
0.375 0.483 0.750
0.517 0.125 0.250
0.875 0.767 0.750
0.233 0.625 0.250
0.250 0.750 0.500
0.500 0.500 0.000
```

Crystal system: tetragonal



version x takes first place; second place is 41.0 kJ/mol of atoms up.



Version w
The following is a PBE-GGA calculation of a relaxed VHg2I crystal, from Alexandria via LeMat-Bulk.

Structure (POSCAR):
```
VHg2I
1.0
-5.061 4.474 6.433
-6.581 -6.584 -0.597
-4.546 -2.512 4.934
Hg V I
4 2 2
direct
0.875 0.796 0.750
0.204 0.625 0.250
0.546 0.125 0.250
0.375 0.454 0.750
0.250 0.750 0.500
0.500 0.500 0.000
0.750 0.250 0.500
0.000 0.000 0.000
```

Crystal system: tetragonal



Version x
The following is a PBE-GGA calculation of a relaxed VHg2I crystal, from Alexandria via LeMat-Bulk.

Structure (POSCAR):
```
VHg2I
1.0
0.000 3.787 3.787
3.787 0.000 3.787
3.787 3.787 0.000
Hg I V
2 1 1
direct
0.750 0.750 0.750
0.250 0.250 0.250
0.500 0.500 0.500
0.000 0.000 0.000
```

Crystal system: cubic



version w takes first place; second place is 34.8 kJ/mol of atoms up.



Version w
The following is a PBE-GGA calculation of a relaxed HgWI2 crystal, from Alexandria via LeMat-Bulk.

Structure (POSCAR):
```
HgWI2
1.0
-8.057 -0.026 -1.727
0.921 -7.034 -4.193
-4.392 -5.950 0.919
Hg I W
2 4 2
direct
0.750 0.250 0.500
0.000 0.000 0.000
0.375 0.484 0.750
0.234 0.625 0.250
0.516 0.125 0.250
0.875 0.766 0.750
0.500 0.500 0.000
0.250 0.750 0.500
```

Crystal system: tetragonal



Version x
The following is a PBE-GGA calculation of a relaxed HgWI2 crystal, from Alexandria via LeMat-Bulk.

Structure (POSCAR):
```
HgWI2
1.0
-3.913 -2.839 1.723
-4.515 2.211 1.033
-4.048 -0.896 -3.025
W I Hg
1 2 1
direct
0.000 0.000 0.000
0.750 0.750 0.750
0.250 0.250 0.250
0.500 0.500 0.500
```

Crystal system: cubic



version w takes first place; second place is 41.3 kJ/mol of atoms up.



Version w
The following is a PBE-GGA calculation of a relaxed Hg2WI crystal, from Alexandria via LeMat-Bulk.

Structure (POSCAR):
```
Hg2WI
1.0
0.000 3.753 3.753
3.753 0.000 3.753
3.753 3.753 0.000
I W Hg
1 1 2
direct
0.000 0.000 0.000
0.500 0.500 0.500
0.750 0.750 0.750
0.250 0.250 0.250
```

Crystal system: cubic



Version x
The following is a PBE-GGA calculation of a relaxed Hg2WI crystal, from Alexandria via LeMat-Bulk.

Structure (POSCAR):
```
Hg2WI
1.0
-3.406 -1.839 1.789
2.131 -0.372 3.674
-4.448 9.112 5.977
Hg W I
4 2 2
direct
0.375 0.354 0.750
0.646 0.125 0.250
0.875 0.896 0.750
0.104 0.625 0.250
0.750 0.250 0.500
0.000 0.000 0.000
0.500 0.500 0.000
0.250 0.750 0.500
```

Crystal system: tetragonal



version x takes first place; second place is 24.1 kJ/mol of atoms up.



Version w
The following is a PBE-GGA calculation of a relaxed HgWI3 crystal, from Alexandria via LeMat-Bulk.

Structure (POSCAR):
```
HgWI3
1.0
-3.720 -4.194 -0.691
4.248 -3.641 -0.772
0.128 -1.029 5.552
W Hg I
1 1 3
direct
0.000 0.000 0.000
0.500 0.500 0.500
0.000 0.500 0.000
0.000 0.000 0.500
0.500 0.000 0.000
```

Crystal system: cubic



Version x
The following is a PBE-GGA calculation of a relaxed HgWI3 crystal, from Alexandria via LeMat-Bulk.

Structure (POSCAR):
```
HgWI3
1.0
5.864 0.000 0.000
0.000 5.864 0.000
0.000 0.000 5.864
I W Hg
3 1 1
direct
0.000 0.500 0.000
0.500 0.000 0.000
0.000 0.000 0.500
0.500 0.500 0.500
0.000 0.000 0.000
```

Crystal system: cubic



version w takes first place; second place is 89.8 kJ/mol of atoms up.



Version w
The following is a PBE-GGA calculation of a relaxed Y2HgI crystal, from Alexandria via LeMat-Bulk.

Structure (POSCAR):
```
Y2HgI
1.0
-2.170 -0.497 3.165
-2.003 -3.276 0.478
5.602 -4.916 5.435
Hg Y I
1 2 1
direct
0.667 0.667 0.999
0.253 0.253 0.241
0.080 0.080 0.759
0.500 0.500 0.501
```

Crystal system: trigonal



Version x
The following is a PBE-GGA calculation of a relaxed Y2HgI crystal, from Alexandria via LeMat-Bulk.

Structure (POSCAR):
```
Y2HgI
1.0
6.445 0.000 0.000
0.000 6.445 0.000
3.222 3.222 7.665
I Y Hg
2 4 2
direct
0.250 0.750 0.500
0.500 0.500 0.000
0.875 0.912 0.750
0.662 0.125 0.250
0.088 0.625 0.250
0.375 0.338 0.750
0.000 0.000 0.000
0.750 0.250 0.500
```

Crystal system: tetragonal



Version y
The following is a PBE-GGA calculation of a relaxed Y2HgI crystal, from Alexandria via LeMat-Bulk.

Structure (POSCAR):
```
Y2HgI
1.0
0.000 3.800 3.800
3.800 0.000 3.800
3.800 3.800 0.000
Y I Hg
2 1 1
direct
0.250 0.250 0.250
0.750 0.750 0.750
0.000 0.000 0.000
0.500 0.500 0.500
```

Crystal system: cubic



version w takes first place; second place is 15.7 kJ/mol of atoms up.



Version w
The following is a PBE-GGA calculation of a relaxed Y2Hg2I crystal, from Alexandria via LeMat-Bulk.

Structure (POSCAR):
```
Y2Hg2I
1.0
8.289 0.000 0.000
0.000 8.289 0.000
0.000 0.000 4.179
I Hg Y
2 4 4
direct
0.000 0.000 0.000
0.500 0.500 0.000
0.362 0.138 0.500
0.138 0.638 0.500
0.862 0.362 0.500
0.638 0.862 0.500
0.159 0.341 0.000
0.841 0.659 0.000
0.341 0.841 0.000
0.659 0.159 0.000
```

Crystal system: tetragonal



Version x
The following is a PBE-GGA calculation of a relaxed Y2Hg2I crystal, from Alexandria via LeMat-Bulk.

Structure (POSCAR):
```
Y2Hg2I
1.0
8.657 0.000 0.000
0.000 8.657 0.000
0.000 0.000 3.797
Hg I Y
4 2 4
direct
0.624 0.124 0.000
0.124 0.376 0.000
0.876 0.624 0.000
0.376 0.876 0.000
0.500 0.500 0.000
0.000 0.000 0.000
0.827 0.327 0.500
0.173 0.673 0.500
0.327 0.173 0.500
0.673 0.827 0.500
```

Crystal system: tetragonal



version w takes first place; second place is 15.2 kJ/mol of atoms up.



Version w
The following is a PBE-GGA calculation of a relaxed YHgI3 crystal, from Alexandria via LeMat-Bulk.

Structure (POSCAR):
```
YHgI3
1.0
-5.230 -2.120 1.633
2.677 -4.158 3.173
0.011 3.568 4.668
I Y Hg
3 1 1
direct
0.500 0.000 0.000
0.000 0.000 0.500
0.000 0.500 0.000
0.500 0.500 0.500
0.000 0.000 0.000
```

Crystal system: cubic



Version x
The following is a PBE-GGA calculation of a relaxed YHgI3 crystal, from Alexandria via LeMat-Bulk.

Structure (POSCAR):
```
YHgI3
1.0
7.731 0.008 0.007
0.016 10.890 2.290
0.020 0.236 11.126
I Y Hg
12 4 4
direct
0.858 0.900 0.832
0.358 0.832 0.900
0.642 0.168 0.100
0.760 0.532 0.967
0.142 0.100 0.168
0.260 0.967 0.532
0.140 0.332 0.401
0.360 0.599 0.668
0.640 0.401 0.332
0.860 0.668 0.599
0.740 0.033 0.468
0.240 0.468 0.033
0.572 0.831 0.669
0.428 0.169 0.331
0.928 0.331 0.169
0.072 0.669 0.831
0.250 0.723 0.277
0.250 0.223 0.777
0.750 0.777 0.223
0.750 0.277 0.723
```

Crystal system: monoclinic



Version y
The following is a PBE-GGA calculation of a relaxed YHgI3 crystal, from Alexandria via LeMat-Bulk.

Structure (POSCAR):
```
YHgI3
1.0
-2.501 -0.305 5.500
-2.458 -5.345 -1.414
4.930 -2.819 2.086
Y I Hg
1 3 1
direct
0.000 0.000 0.000
0.000 0.500 0.000
0.000 0.000 0.500
0.500 0.000 0.000
0.500 0.500 0.500
```

Crystal system: cubic



version x takes first place; second place is 6.5 kJ/mol of atoms up.



Version w
The following is a PBE-GGA calculation of a relaxed Zn2Hg2I crystal, from Alexandria via LeMat-Bulk.

Structure (POSCAR):
```
Zn2Hg2I
1.0
7.931 0.000 0.000
0.000 7.931 0.000
0.000 0.000 4.054
Hg I Zn
4 2 4
direct
0.313 0.187 0.500
0.813 0.313 0.500
0.187 0.687 0.500
0.687 0.813 0.500
0.500 0.500 0.000
0.000 0.000 0.000
0.117 0.383 0.000
0.383 0.883 0.000
0.617 0.117 0.000
0.883 0.617 0.000
```

Crystal system: tetragonal



Version x
The following is a PBE-GGA calculation of a relaxed Zn2Hg2I crystal, from Alexandria via LeMat-Bulk.

Structure (POSCAR):
```
Zn2Hg2I
1.0
-0.385 4.663 1.466
-4.262 -1.041 2.191
0.445 0.537 6.610
Zn Hg I
2 2 1
direct
0.750 0.250 0.500
0.250 0.750 0.500
0.369 0.369 0.262
0.631 0.631 0.738
0.000 0.000 0.000
```

Crystal system: tetragonal



Version y
The following is a PBE-GGA calculation of a relaxed Zn2Hg2I crystal, from Alexandria via LeMat-Bulk.

Structure (POSCAR):
```
Zn2Hg2I
1.0
9.039 0.000 0.000
0.000 9.039 0.000
0.000 0.000 3.099
Zn Hg I
4 4 2
direct
0.140 0.640 0.500
0.640 0.860 0.500
0.360 0.140 0.500
0.860 0.360 0.500
0.155 0.345 0.000
0.655 0.155 0.000
0.345 0.845 0.000
0.845 0.655 0.000
0.500 0.500 0.000
0.000 0.000 0.000
```

Crystal system: tetragonal



version x takes first place; second place is 2.3 kJ/mol of atoms up.



Version w
The following is a PBE-GGA calculation of a relaxed ZrHg2I crystal, from Alexandria via LeMat-Bulk.

Structure (POSCAR):
```
ZrHg2I
1.0
4.350 -2.924 -1.133
-0.392 -5.330 -0.441
0.484 -2.336 -4.803
Hg I Zr
2 1 1
direct
0.750 0.750 0.750
0.250 0.250 0.250
0.500 0.500 0.500
0.000 0.000 0.000
```

Crystal system: cubic



Version x
The following is a PBE-GGA calculation of a relaxed ZrHg2I crystal, from Alexandria via LeMat-Bulk.

Structure (POSCAR):
```
ZrHg2I
1.0
-3.693 1.393 8.129
3.794 -7.621 3.030
2.396 -1.624 6.390
Hg Zr I
4 2 2
direct
0.568 0.125 0.250
0.875 0.818 0.750
0.182 0.625 0.250
0.375 0.432 0.750
0.250 0.750 0.500
0.500 0.500 0.000
0.750 0.250 0.500
0.000 0.000 0.000
```

Crystal system: tetragonal



version x takes first place; second place is 31.7 kJ/mol of atoms up.



Version w
The following is a PBE-GGA calculation of a relaxed In3Hg2 crystal, from Alexandria via LeMat-Bulk.

Structure (POSCAR):
```
In3Hg2
1.0
4.712 0.000 0.000
2.356 5.287 -0.011
2.356 0.202 5.274
In Hg
3 2
direct
0.197 0.708 0.898
0.000 0.500 0.500
0.803 0.292 0.102
0.404 0.893 0.300
0.596 0.107 0.700
```

Crystal system: monoclinic



Version x
The following is a PBE-GGA calculation of a relaxed In3Hg2 crystal, from Alexandria via LeMat-Bulk.

Structure (POSCAR):
```
In3Hg2
1.0
-2.496 -0.060 4.257
3.564 -3.316 -0.818
4.555 4.222 2.731
Hg In
2 3
direct
0.667 0.333 0.198
0.333 0.667 0.802
0.000 0.000 0.000
0.333 0.667 0.343
0.667 0.333 0.657
```

Crystal system: trigonal



Version y
The following is a PBE-GGA calculation of a relaxed In3Hg2 crystal, from Alexandria via LeMat-Bulk.

Structure (POSCAR):
```
In3Hg2
1.0
12.301 0.217 0.127
11.723 3.734 0.127
11.723 1.928 3.200
In Hg
3 2
direct
0.000 0.000 0.000
0.202 0.202 0.202
0.798 0.798 0.798
0.601 0.601 0.601
0.399 0.399 0.399
```

Crystal system: trigonal



version y takes first place; second place is 0.7 kJ/mol of atoms up.